Pm8In | PBE | optimized geometry

Cell and atoms, written as extended XYZ:
```
9
Lattice="-1.432 4.271 2.208 -2.633 -1.778 7.431 6.393 3.098 3.853" Properties=species:S:1:pos:R:3 pbc="T T T"
Pm 1.567 2.444 1.987
Pm 3.393 4.924 4.074
Pm -2.733 1.614 6.503
Pm 0.374 -0.154 6.239
Pm 2.030 2.303 8.260
Pm 0.298 3.288 5.232
Pm 3.386 1.473 5.045
Pm -1.332 0.878 3.136
In 0.000 0.000 0.000
```

Properties
Space-group type: I4/mmm
Total DFT energy (no corrections) (eV/atom): -4.599
ΔH_f (0 K) (eV/atom): -0.072
M_tot (μB/cell): 0.0
Density of states at the Fermi level (states/eV/cell): 13.2